(a)
Entry from Alexandria via LeMat-Bulk: a geometry-optimized KSn4Pt2 structure (GGA-PBE).

a b c (Å): 4.6401 7.3659 19.0154
angles (deg): 90.00 90.00 90.00
With the nearest neighbours (Å) after each atom.
Fractional coordinates of all 28 atoms:
Sn (0.2500, 0.8077, 0.1837)  4 Pt 2.85-2.91, 1 Sn 3.10
Sn (0.2500, 0.2728, 0.6927)  3 Pt 2.80-2.83, 1 Sn 3.10
Sn (0.7500, 0.7728, 0.8073)  3 Pt 2.80-2.83, 1 Sn 3.10
Sn (0.2500, 0.0292, 0.9333)  4 Pt 2.76-2.87
Sn (0.2500, 0.6923, 0.6837)  4 Pt 2.85-2.91, 1 Sn 3.10
Sn (0.2500, 0.2272, 0.1927)  3 Pt 2.80-2.83, 1 Sn 3.10
Sn (0.7500, 0.9708, 0.0667)  4 Pt 2.76-2.87
Sn (0.2500, 0.4708, 0.4333)  4 Pt 2.76-2.87
Sn (0.7500, 0.6326, 0.9665)  3 Pt 2.80-2.87
Sn (0.7500, 0.8674, 0.4665)  3 Pt 2.80-2.87
Sn (0.7500, 0.5292, 0.5667)  4 Pt 2.76-2.87
Sn (0.2500, 0.1326, 0.5335)  3 Pt 2.80-2.87
Sn (0.2500, 0.3674, 0.0335)  3 Pt 2.80-2.87
Sn (0.7500, 0.1923, 0.8163)  4 Pt 2.85-2.91, 1 Sn 3.10
Sn (0.7500, 0.3077, 0.3163)  4 Pt 2.85-2.91, 1 Sn 3.10
Sn (0.7500, 0.7272, 0.3073)  3 Pt 2.80-2.83, 1 Sn 3.10
K (0.7500, 0.9896, 0.6425)  9 Sn 3.26-3.63, 4 Pt 3.61-3.62
K (0.7500, 0.5104, 0.1425)  9 Sn 3.26-3.63, 4 Pt 3.61-3.62
K (0.2500, 0.0104, 0.3575)  9 Sn 3.26-3.63, 4 Pt 3.61-3.62
K (0.2500, 0.4896, 0.8575)  9 Sn 3.26-3.63, 4 Pt 3.61-3.62
Pt (0.2500, 0.5206, 0.2887)  7 Sn 2.77-2.91
Pt (0.7500, 0.2427, 0.9667)  7 Sn 2.76-2.88
Pt (0.2500, 0.9794, 0.7887)  7 Sn 2.77-2.91
Pt (0.2500, 0.7573, 0.0333)  7 Sn 2.76-2.88
Pt (0.2500, 0.7427, 0.5333)  7 Sn 2.76-2.88
Pt (0.7500, 0.0206, 0.2113)  7 Sn 2.77-2.91
Pt (0.7500, 0.4794, 0.7113)  7 Sn 2.77-2.91
Pt (0.7500, 0.2573, 0.4667)  7 Sn 2.76-2.88

V = 649.92 Å³ per cell
Symmetry = No. 62

(b)
Entry from Alexandria via LeMat-Bulk: a geometry-optimized KSn4Pt2 structure (GGA-PBE).

a b c (Å): 5.5265 5.5265 8.0985
angles (deg): 70.05 70.05 90.00
With the nearest neighbours (Å) after each atom.
Fractional coordinates of all 7 atoms:
Sn (0.7709, 0.7709, 0.4582)  1 Pt 2.52
Sn (0.5000, 0.0000, 0.0000)  2 K 2.76, 4 Pt 3.07
Sn (0.2291, 0.2291, 0.5418)  1 Pt 2.52
Sn (0.0000, 0.5000, 0.0000)  2 K 2.76, 4 Pt 3.07
Pt (0.5936, 0.5936, 0.8129)  1 Sn 2.52, 1 Pt 2.65
Pt (0.4064, 0.4064, 0.1871)  1 Sn 2.52, 1 Pt 2.65
K (0.0000, 0.0000, 0.0000)  4 Sn 2.76

V = 216.65 Å³ per cell
Symmetry = No. 139

(c)
Entry from Alexandria via LeMat-Bulk: a geometry-optimized KSn4Pt2 structure (GGA-PBE).

a b c (Å): 4.3329 8.9139 8.9139
angles (deg): 90.00 90.00 90.00
With the nearest neighbours (Å) after each atom.
Fractional coordinates of all 14 atoms:
Pt (0.5000, 0.2731, 0.2731)  6 Sn 2.76-2.86
Pt (0.0000, 0.2269, 0.7731)  6 Sn 2.76-2.86
Pt (0.5000, 0.7269, 0.7269)  6 Sn 2.76-2.86
Pt (0.0000, 0.7731, 0.2269)  6 Sn 2.76-2.86
K (0.0000, 0.5000, 0.5000)  6 Pt 3.44-3.59, 8 Sn 3.61
K (0.5000, 0.0000, 0.0000)  6 Pt 3.44-3.59, 8 Sn 3.61
Sn (0.5000, 0.1830, 0.5688)  3 Pt 2.76-2.86
Sn (0.5000, 0.4312, 0.8170)  3 Pt 2.76-2.86
Sn (0.0000, 0.9312, 0.6830)  3 Pt 2.76-2.86
Sn (0.5000, 0.8170, 0.4312)  3 Pt 2.76-2.86
Sn (0.0000, 0.3170, 0.0688)  3 Pt 2.76-2.86
Sn (0.0000, 0.0688, 0.3170)  3 Pt 2.76-2.86
Sn (0.5000, 0.5688, 0.1830)  3 Pt 2.76-2.86
Sn (0.0000, 0.6830, 0.9312)  3 Pt 2.76-2.86

V = 344.28 Å³ per cell
Symmetry = No. 136

Least stable = (b)

(a)
Entry from Alexandria via LeMat-Bulk: a geometry-optimized KSn3Pt2 structure (GGA-PBE).

a b c (Å): 4.5884 9.1904 11.3222
angles (deg): 108.19 90.00 104.46
With the nearest neighbours (Å) after each atom.
Fractional coordinates of all 18 atoms:
Pt (0.5211, 0.0422, 0.7775)  4 Sn 2.71-2.77
Pt (0.1949, 0.3899, 0.1199)  6 Sn 2.74-2.95
Pt (0.4789, 0.9578, 0.2225)  4 Sn 2.71-2.77
Pt (0.3584, 0.7168, 0.5682)  7 Sn 2.69-2.92
Pt (0.6416, 0.2832, 0.4318)  7 Sn 2.69-2.92
Pt (0.8051, 0.6101, 0.8801)  6 Sn 2.74-2.95
Sn (0.3760, 0.7520, 0.8187)  4 Pt 2.75-2.81, 1 Sn 3.01
Sn (0.7809, 0.5619, 0.6183)  4 Pt 2.69-2.85
Sn (0.0363, 0.0727, 0.3470)  4 Pt 2.71-2.92
Sn (0.2191, 0.4381, 0.3817)  4 Pt 2.69-2.85
Sn (0.5000, 0.0000, 0.5000)  4 Pt 2.86-3.04, 4 Sn 3.07
Sn (0.9637, 0.9273, 0.6530)  4 Pt 2.71-2.92
Sn (0.6704, 0.3407, 0.9477)  4 Pt 2.73-2.95, 1 Sn 3.01
Sn (0.3296, 0.6593, 0.0523)  4 Pt 2.73-2.95, 1 Sn 3.01
Sn (0.6240, 0.2480, 0.1813)  4 Pt 2.75-2.81, 1 Sn 3.01
K (0.0000, 0.0000, 0.0000)  6 Pt 3.29-3.52, 4 Sn 3.38
K (0.1596, 0.3191, 0.7002)  6 Sn 3.35-3.65, 6 Pt 3.57-3.74
K (0.8404, 0.6809, 0.2998)  6 Sn 3.35-3.65, 6 Pt 3.57-3.74

V = 437.64 Å³ per cell
Symmetry = No. 12

(b)
Entry from Alexandria via LeMat-Bulk: a geometry-optimized KSn3Pt2 structure (GGA-PBE).

a b c (Å): 8.0265 8.0265 7.7451
angles (deg): 58.79 58.79 60.00
With the nearest neighbours (Å) after each atom.
Fractional coordinates of all 12 atoms:
Pt (0.0000, 0.5000, 0.0000)  4 Sn 2.66
Pt (0.5000, 0.5000, 0.0000)  4 Sn 2.66
Pt (0.0000, 0.0000, 0.0000)  6 Sn 2.79
Pt (0.5000, 0.0000, 0.0000)  4 Sn 2.66
Sn (0.7517, 0.7517, 0.2233)  3 Pt 2.66-2.79
Sn (0.2483, 0.7268, 0.7767)  3 Pt 2.66-2.79
Sn (0.7268, 0.2483, 0.7767)  3 Pt 2.66-2.79
Sn (0.2483, 0.2483, 0.7767)  3 Pt 2.66-2.79
Sn (0.2732, 0.7517, 0.2233)  3 Pt 2.66-2.79
Sn (0.7517, 0.2732, 0.2233)  3 Pt 2.66-2.79
K (0.2160, 0.2160, 0.3519)  3 Pt 3.18
K (0.7840, 0.7840, 0.6481)  3 Pt 3.18

V = 346.25 Å³ per cell
Symmetry = No. 166

Least stable = (b)

(a)
Entry from Alexandria via LeMat-Bulk: a geometry-optimized K2SnPt2 structure (GGA-PBE).

a b c (Å): 6.8939 6.8939 5.5268
angles (deg): 90.00 90.00 90.00
With the nearest neighbours (Å) after each atom.
Fractional coordinates of all 10 atoms:
Pt (0.6355, 0.1355, 0.0000)  1 Pt 2.64, 2 Sn 2.68
Pt (0.8645, 0.6355, 0.0000)  1 Pt 2.64, 2 Sn 2.68
Pt (0.1355, 0.3645, 0.0000)  1 Pt 2.64, 2 Sn 2.68
Pt (0.3645, 0.8645, 0.0000)  1 Pt 2.64, 2 Sn 2.68
Sn (0.5000, 0.5000, 0.0000)  4 Pt 2.68
Sn (0.0000, 0.0000, 0.0000)  4 Pt 2.68
K (0.3283, 0.1717, 0.5000)  6 Pt 3.34-3.49, 5 K 3.35-3.61
K (0.1717, 0.6717, 0.5000)  6 Pt 3.34-3.49, 5 K 3.35-3.61
K (0.6717, 0.8283, 0.5000)  6 Pt 3.34-3.49, 5 K 3.35-3.61
K (0.8283, 0.3283, 0.5000)  6 Pt 3.34-3.49, 5 K 3.35-3.61

V = 262.67 Å³ per cell
Symmetry = No. 127

(b)
Entry from Alexandria via LeMat-Bulk: a geometry-optimized K2SnPt2 structure (GGA-PBE).

a b c (Å): 6.9114 6.0945 8.0403
angles (deg): 97.61 90.00 124.54
With the nearest neighbours (Å) after each atom.
Fractional coordinates of all 10 atoms:
Sn (0.0546, 0.0000, 0.7500)  4 Pt 2.67-2.71
Sn (0.9454, 0.0000, 0.2500)  4 Pt 2.67-2.71
Pt (0.2906, 0.2814, 0.5069)  1 Pt 2.61, 2 Sn 2.67-2.71
Pt (0.9908, 0.2814, 0.0069)  1 Pt 2.61, 2 Sn 2.67-2.71
Pt (0.7094, 0.7186, 0.4931)  1 Pt 2.61, 2 Sn 2.67-2.71
Pt (0.0092, 0.7186, 0.9931)  1 Pt 2.61, 2 Sn 2.67-2.71
K (0.5219, 0.2823, 0.1303)  5 Pt 3.20-3.42, 1 Sn 3.53
K (0.7603, 0.2823, 0.6303)  5 Pt 3.20-3.42, 1 Sn 3.53
K (0.4781, 0.7177, 0.8697)  5 Pt 3.20-3.42, 1 Sn 3.53
K (0.2397, 0.7177, 0.3697)  5 Pt 3.20-3.42, 1 Sn 3.53

V = 275.33 Å³ per cell
Symmetry = No. 15

Least stable = (a)

(a)
Entry from Alexandria via LeMat-Bulk: a geometry-optimized KSn3Pt3 structure (GGA-PBE).

a b c (Å): 7.4219 7.4219 7.4219
angles (deg): 90.00 90.00 90.00
With the nearest neighbours (Å) after each atom.
Fractional coordinates of all 14 atoms:
K (0.0000, 0.0000, 0.0000)  12 Sn 4.15, 12 Pt 4.15
K (0.5000, 0.5000, 0.5000)  12 Sn 4.15, 12 Pt 4.15
Pt (0.2500, 0.5000, 0.0000)  4 Sn 2.62
Pt (0.5000, 0.0000, 0.7500)  4 Sn 2.62
Pt (0.5000, 0.0000, 0.2500)  4 Sn 2.62
Pt (0.7500, 0.5000, 0.0000)  4 Sn 2.62
Pt (0.0000, 0.7500, 0.5000)  4 Sn 2.62
Pt (0.0000, 0.2500, 0.5000)  4 Sn 2.62
Sn (0.0000, 0.5000, 0.7500)  4 Pt 2.62
Sn (0.5000, 0.7500, 0.0000)  4 Pt 2.62
Sn (0.5000, 0.2500, 0.0000)  4 Pt 2.62
Sn (0.0000, 0.5000, 0.2500)  4 Pt 2.62
Sn (0.7500, 0.0000, 0.5000)  4 Pt 2.62
Sn (0.2500, 0.0000, 0.5000)  4 Pt 2.62

V = 408.83 Å³ per cell
Symmetry = No. 223

(b)
Entry from Alexandria via LeMat-Bulk: a geometry-optimized KSn3Pt3 structure (GGA-PBE).

a b c (Å): 7.3329 7.3329 9.4825
angles (deg): 67.25 67.25 60.00
With the nearest neighbours (Å) after each atom.
Fractional coordinates of all 14 atoms:
Sn (0.8536, 0.4297, 0.6840)  3 Pt 2.59-2.67
Sn (0.9673, 0.1464, 0.3160)  3 Pt 2.59-2.67
Sn (0.1464, 0.5703, 0.3160)  3 Pt 2.59-2.67
Sn (0.5703, 0.9673, 0.3160)  3 Pt 2.59-2.67
Sn (0.4297, 0.0327, 0.6840)  3 Pt 2.59-2.67
Sn (0.0327, 0.8536, 0.6840)  3 Pt 2.59-2.67
Pt (0.5386, 0.3014, 0.3725)  3 Sn 2.59-2.67, 2 Pt 2.80
Pt (0.6986, 0.2125, 0.6275)  3 Sn 2.59-2.67, 2 Pt 2.80
Pt (0.2125, 0.4614, 0.6275)  3 Sn 2.59-2.67, 2 Pt 2.80
Pt (0.3014, 0.7875, 0.3725)  3 Sn 2.59-2.67, 2 Pt 2.80
Pt (0.4614, 0.6986, 0.6275)  3 Sn 2.59-2.67, 2 Pt 2.80
Pt (0.7875, 0.5386, 0.3725)  3 Sn 2.59-2.67, 2 Pt 2.80
K (0.3423, 0.3423, 0.9730)  3 Pt 3.43, 3 Sn 3.69
K (0.6577, 0.6577, 0.0270)  3 Pt 3.43, 3 Sn 3.69

V = 395.12 Å³ per cell
Symmetry = No. 148

Least stable = (a)

(a)
Entry from Alexandria via LeMat-Bulk: a geometry-optimized K2SrPt structure (GGA-PBE).

a b c (Å): 8.9077 8.9077 8.9077
angles (deg): 32.66 32.66 32.66
With the nearest neighbours (Å) after each atom.
Fractional coordinates of all 4 atoms:
K (0.9642, 0.9642, 0.9642)  3 Pt 3.13
K (0.5358, 0.5358, 0.5358)  3 Pt 3.13
Pt (0.2500, 0.2500, 0.2500)  6 K 3.13
Sr (0.7500, 0.7500, 0.7500)  6 K 4.18

V = 183.09 Å³ per cell
Symmetry = No. 166

(b)
Entry from Alexandria via LeMat-Bulk: a geometry-optimized K2SrPt structure (GGA-PBE).

a b c (Å): 4.1132 4.4339 10.1279
angles (deg): 77.42 90.00 90.00
With the nearest neighbours (Å) after each atom.
Fractional coordinates of all 4 atoms:
Sr (0.5000, 0.7407, 0.6422)  4 Pt 3.06
Pt (0.0000, 0.2631, 0.5968)  4 Sr 3.06
K (0.0000, 0.0925, 0.9454)  1 Pt 3.45
K (0.5000, 0.4038, 0.3156)  2 Pt 3.46

V = 180.28 Å³ per cell
Symmetry = No. 6

Least stable = (a)

(a)
Entry from Alexandria via LeMat-Bulk: a geometry-optimized K2SrPt structure (GGA-PBE).

a b c (Å): 6.0697 4.9511 4.9530
angles (deg): 79.36 90.00 90.00
With the nearest neighbours (Å) after each atom.
Fractional coordinates of all 4 atoms:
Pt (0.5000, 0.2500, 0.2500)  2 Sr 3.16, 4 K 3.39
Sr (0.5000, 0.7500, 0.7500)  2 Pt 3.16
K (0.0000, 0.4486, 0.4487)  3 K 3.03-3.26, 2 Pt 3.39
K (0.0000, 0.0514, 0.0513)  3 K 3.03-3.26, 2 Pt 3.39

V = 146.29 Å³ per cell
Symmetry = No. 65

(b)
Entry from Alexandria via LeMat-Bulk: a geometry-optimized K2SrPt structure (GGA-PBE).

a b c (Å): 11.5227 11.5227 8.6552
angles (deg): 48.27 48.27 90.00
With the nearest neighbours (Å) after each atom.
Fractional coordinates of all 8 atoms:
Pt (0.0000, 0.0000, 0.0000)  2 Sr 2.92
Pt (0.7500, 0.2500, 0.5000)  2 Sr 2.92
K (0.7545, 0.1250, 0.2500)  2 Pt 3.28
K (0.9955, 0.6250, 0.2500)  2 Pt 3.28
K (0.3750, 0.2455, 0.7500)  2 Pt 3.28
K (0.8750, 0.0045, 0.7500)  2 Pt 3.28
Sr (0.2500, 0.7500, 0.5000)  2 Pt 2.92
Sr (0.5000, 0.5000, 0.0000)  2 Pt 2.92

V = 387.71 Å³ per cell
Symmetry = No. 122

(c)
Entry from Alexandria via LeMat-Bulk: a geometry-optimized K2SrPt structure (GGA-PBE).

a b c (Å): 10.1572 10.1572 10.1572
angles (deg): 157.70 153.45 34.94
With the nearest neighbours (Å) after each atom.
Fractional coordinates of all 4 atoms:
Sr (0.7500, 0.2500, 0.5000)  4 Pt 3.05
K (0.0929, 0.0929, 0.0000)  2 Pt 3.62, 2 Sr 3.83, 2 K 3.93
K (0.4071, 0.4071, 0.0000)  2 Pt 3.62, 2 Sr 3.83, 2 K 3.93
Pt (0.2500, 0.7500, 0.5000)  4 Sr 3.05

V = 177.56 Å³ per cell
Symmetry = No. 71

Least stable = (a)